A plane-wave DFT calculation with GGA+U was carried out for a relaxed PmDy2MoO8 crystal.

The total magnetization comes out at 0.90 μB per formula unit. For the electronic total energy, the calculation gives -92.53 eV/cell. The crystal system is orthorhombic.

Structure (CIF):
```
data_PmDy2MoO8
_chemical_formula_sum 'Pm1 Dy2 Mo1 O8'
_symmetry_space_group_name_H-M 'P 1'
_symmetry_Int_Tables_number 1
_cell_length_a 5.066
_cell_length_b 5.066
_cell_length_c 6.915
_cell_angle_alpha 90.00
_cell_angle_beta 90.00
_cell_angle_gamma 90.43
loop_
_symmetry_equiv_pos_as_xyz
'x,y,z'
loop_
_atom_site_label
_atom_site_type_symbol
_atom_site_fract_x
_atom_site_fract_y
_atom_site_fract_z
Pm1 Pm 0.000 0.000 0.000
Dy1 Dy 0.500 0.500 0.255
Dy2 Dy 0.500 0.500 0.745
Mo1 Mo 0.000 0.000 0.500
O1 O 0.184 0.816 0.293
O2 O 0.184 0.816 0.707
O3 O 0.275 0.275 0.500
O4 O 0.315 0.315 0.000
O5 O 0.685 0.685 0.000
O6 O 0.725 0.725 0.500
O7 O 0.816 0.184 0.293
O8 O 0.816 0.184 0.707
```